VASP calculation (PBE) on a geometry-optimized NaMg2B2O6 structure. Values from VASP.

Results
- E_form (uncorrected): -25.22 eV per formula unit
- Raw total energy: -72.84 eV/cell
- D(E_F): 0.36 states/eV/cell

Cell and atoms, written as Quantum ESPRESSO input:
```
&SYSTEM
  ibrav = 0, nat = 11, ntyp = 4
/
ATOMIC_SPECIES
Na 22.99 Na.upf
Mg 24.30 Mg.upf
B 10.81 B.upf
O 16.00 O.upf
ATOMIC_POSITIONS crystal
Na 0.500 0.000 0.500
Mg 0.852 0.359 0.788
Mg 0.148 0.641 0.212
B 0.239 0.703 0.774
B 0.761 0.297 0.226
O 0.431 0.718 0.940
O 0.881 0.473 0.214
O 0.179 0.864 0.622
O 0.119 0.527 0.786
O 0.821 0.136 0.378
O 0.569 0.282 0.060
CELL_PARAMETERS angstrom
-4.130 1.439 -3.286
-4.605 1.032 2.438
2.694 4.267 -1.825
```



VASP calculation (PBE) on a geometry-optimized AcNdPd structure. Values from VASP.

Results
- Formation energy: -0.435 eV/atom
- Raw total energy: -30.75 eV/cell
- Offset from the most stable computed form: 1 meV/atom
- D(E_F): 8.20 states/eV/cell

Cell and atoms, written as Quantum ESPRESSO input:
```
&SYSTEM
  ibrav = 0, nat = 6, ntyp = 3
/
ATOMIC_SPECIES
Ac 227.00 Ac.upf
Nd 144.24 Nd.upf
Pd 106.42 Pd.upf
ATOMIC_POSITIONS crystal
Ac 0.306 0.480 0.370
Ac 0.572 0.624 0.919
Nd 0.572 0.114 0.910
Nd 0.306 0.990 0.379
Pd 0.945 0.283 0.658
Pd 0.933 0.821 0.631
CELL_PARAMETERS angstrom
3.785 0.010 -0.007
-0.009 7.468 -0.012
-1.904 -1.987 6.594
```